DFT (PBE) results for crystalline Sm7Ho2Er at its relaxed geometry.

Output
ρ	7.85	g/cm³
polymorph energy (0 for the lowest one)	0	meV per atom
total magnetic moment	0.000	μB/cell
D(E_F)	13.84	states/eV/f.u.
energy relative to the elements	0.016	eV per atom

abc: 6.2159 10.7604 8.0395
angles: 107.38 75.08 140.24
Sites, in units of the cell vectors:
Sm: 0.3010 0.9006 0.2000
Sm: 0.9013 0.7008 0.5996
Sm: 0.5000 0.5000 0.0000
Ho: 0.6032 0.8015 0.3998
Sm: 0.0987 0.2992 0.4004
Sm: 0.7986 0.3993 0.2003
Sm: 0.2014 0.6007 0.7997
Er: 0.0000 0.0000 0.0000
Sm: 0.6990 0.0994 0.8000
Ho: 0.3968 0.1985 0.6002